No. 1
Pm2NpPdSe5, optimized geometry, DFT PBE-GGA; total magnetization = 3.28 μB/f.u.; formation energy without anion corrections = -1356 meV/atom; ρ = 7788 kg/m³; SG = Cmc2_1, No. 36; E_tot = -6.362 eV/atom; DOS at the Fermi energy = 1.197 states/eV per atom
1.0
-2.1639 3.4095 0.1835
-5.8327 -6.2500 2.8223
3.7548 1.7561 11.6491
Pm Np Pd Se
4 2 2 10
Direct
0.8810 0.7619 0.8191
0.1129 0.2258 0.6933
0.1190 0.2381 0.3191
0.8871 0.7742 0.1933
0.8089 0.6179 0.5143
0.1911 0.3821 0.0143
0.5636 0.1272 0.9432
0.4364 0.8728 0.4432
0.3562 0.7125 0.0074
0.6952 0.3904 0.8459
0.4970 0.9939 0.7640
0.2960 0.5921 0.6772
0.9623 0.9247 0.5597
0.6438 0.2875 0.5074
0.3048 0.6096 0.3459
0.5030 0.0061 0.2640
0.7040 0.4079 0.1772
0.0377 0.0753 0.0597

***

No. 2
Pr2NpPdS5, optimized geometry, DFT PBE-GGA; total magnetization = 3.17 μB/f.u.; formation energy without anion corrections = -1521 meV/atom; ρ = 6597 kg/m³; SG = Cmc2_1, No. 36; E_tot = -6.891 eV/atom; DOS at the Fermi energy = 1.083 states/eV per atom
1.0
3.9440 0.0000 0.0000
-1.9720 8.4065 0.0000
0.0000 0.0000 11.9279
Pr Np Pd S
4 2 2 10
Direct
0.8799 0.7599 0.8196
0.1111 0.2223 0.6927
0.1201 0.2401 0.3196
0.8889 0.7777 0.1927
0.8069 0.6138 0.5148
0.1931 0.3862 0.0148
0.5548 0.1097 0.9426
0.4452 0.8903 0.4426
0.3555 0.7110 0.0082
0.6935 0.3869 0.8545
0.4955 0.9911 0.7614
0.2939 0.5877 0.6731
0.9581 0.9163 0.5571
0.6445 0.2890 0.5082
0.3065 0.6131 0.3545
0.5045 0.0089 0.2614
0.7061 0.4123 0.1731
0.0419 0.0837 0.0571

***

No. 3
Pr2NpPdSe5, optimized geometry, DFT PBE-GGA; total magnetization = 3.36 μB/f.u.; formation energy without anion corrections = -1385 meV/atom; ρ = 7567 kg/m³; SG = Cmc2_1, No. 36; E_tot = -6.398 eV/atom; DOS at the Fermi energy = 1.093 states/eV per atom
1.0
-3.4679 -0.3943 -2.0854
5.9724 -4.1748 -5.1792
-2.3813 -10.8690 6.0152
Pr Np Pd Se
4 2 2 10
Direct
0.8952 0.7903 0.8510
0.1222 0.2444 0.6979
0.1048 0.2097 0.3510
0.8778 0.7556 0.1979
0.8227 0.6453 0.5243
0.1773 0.3547 0.0243
0.5543 0.1085 0.9201
0.4457 0.8915 0.4201
0.3426 0.6851 0.0198
0.6963 0.3927 0.8607
0.4974 0.9949 0.7381
0.3062 0.6125 0.6862
0.9840 0.9680 0.5258
0.6574 0.3149 0.5198
0.3037 0.6073 0.3607
0.5026 0.0051 0.2381
0.6938 0.3875 0.1862
0.0160 0.0320 0.0258

***

No. 4
NpPd8Pt2, optimized geometry, DFT PBE-GGA; total magnetization = 1.82 μB/f.u.; excess energy over the best structure of this formula in the dataset = 0.029 eV per atom; ρ = 12972 kg/m³; SG = Cmmm, No. 65; E_tot = -6.128 eV/atom; DOS at the Fermi energy = 1.521 states/eV per atom
1.0
4.3865 0.2489 -0.1599
-0.4362 6.3203 -2.0701
0.2141 0.4582 6.6458
Np Pd Pt
1 8 2
Direct
0.5000 0.0000 0.0000
0.9997 0.9647 0.6961
0.9997 0.6961 0.9647
0.4998 0.6700 0.6700
0.5000 0.2452 0.7548
0.5000 0.7548 0.2452
0.5002 0.3300 0.3300
0.0003 0.3039 0.0353
0.0003 0.0353 0.3039
0.0000 0.6225 0.3775
0.0000 0.3775 0.6225

***

- The highest E_tot belongs to which entry?
  NpPd8Pt2